Entry 1:
Material: Zr2CuW
Method: DFT, PBE-GGA
State: relaxed

Cell: 3.0819 3.6191 6.5764 Å, 90.00 90.00 90.00°
Positions (direct):
1 Cu 0.0000 0.0000 0.5225
2 W 0.5000 0.5000 0.7240
3 Zr 0.0000 0.0000 0.9762
4 Zr 0.5000 0.5000 0.2773

Values from the calculation:
Space group ... Pmm2
Crystal system ... orthorhombic
Magnetic moment ... 0.0 μB/f.u.
VASP energy ... -8.30 eV/atom

Entry 2:
Material: BeCuPb2
Method: DFT, PBE-GGA
State: relaxed

Cell: 7.6251 7.6251 7.6251 Å, 27.70 27.70 27.70°
Positions (direct):
1 Pb 0.0033 0.0033 0.0033
2 Pb 0.4967 0.4967 0.4967
3 Be 0.7500 0.7500 0.7500
4 Cu 0.2500 0.2500 0.2500

Values from the calculation:
Space group ... R-3m
Crystal system ... trigonal
Magnetic moment ... 0.0 μB/f.u.
VASP energy ... -3.31 eV/atom

Entry 3:
Material: Tm6TlTe3Pt2
Method: DFT, PBE-GGA
State: relaxed

Cell: 4.1018 8.8350 9.7926 Å, 109.76 102.09 90.00°
Positions (direct):
1 Tm 0.3298 0.8947 0.6595
2 Tm 0.6799 0.5526 0.3599
3 Tm 0.6702 0.1053 0.3405
4 Tm 0.0064 0.2576 0.0127
5 Tm 0.9936 0.7424 0.9873
6 Tm 0.3201 0.4474 0.6401
7 Tl 0.5000 0.0000 0.0000
8 Te 0.5000 0.5000 0.0000
9 Te 0.8363 0.1727 0.6726
10 Te 0.1637 0.8273 0.3274
11 Pt 0.8376 0.6793 0.6752
12 Pt 0.1624 0.3207 0.3248

Values from the calculation:
Space group ... C2/m
Crystal system ... monoclinic
Magnetic moment ... 0.0 μB/f.u.
VASP energy ... -5.30 eV/atom
Raw formation energy ... -103.7 kJ/mol of atoms

Entry 4:
Material: GaCu2IrPt
Method: DFT, PBE-GGA
State: relaxed

Cell: 4.7009 4.8202 4.7009 Å, 90.00 90.00 90.00°
Positions (direct):
1 Ir 0.0000 0.5000 0.0000
2 Ga 0.5000 0.5000 0.5000
3 Pt 0.0000 0.0000 0.0000
4 Cu 0.0000 0.0000 0.5000
5 Cu 0.5000 0.0000 0.0000

Values from the calculation:
Space group ... P4/mmm
Crystal system ... tetragonal
Magnetic moment ... 0.0 μB/f.u.
VASP energy ... -4.21 eV/atom

Entry 5:
Material: Sn2Pd2Au
Method: DFT, PBE-GGA
State: relaxed

Cell: 4.2713 4.2713 6.6426 Å, 71.25 71.25 90.00°
Positions (direct):
1 Au 0.0000 0.0000 0.0000
2 Sn 0.7500 0.2500 0.5000
3 Sn 0.2500 0.7500 0.5000
4 Pd 0.3896 0.3896 0.2208
5 Pd 0.6104 0.6104 0.7792

Values from the calculation:
Space group ... I4/mmm
Crystal system ... tetragonal
Magnetic moment ... 0.0 μB/f.u.
VASP energy ... -4.35 eV/atom

Entry 6:
Material: SmHo4Mg
Method: DFT, PBE-GGA
State: relaxed

Cell: 6.0719 6.0719 11.8047 Å, 75.29 75.29 60.40°
Positions (direct):
1 Sm 0.5000 0.0000 0.5000
2 Sm 0.0000 0.5000 0.0000
3 Ho 0.4166 0.2515 0.7505
4 Ho 0.1657 0.6701 0.5009
5 Ho 0.8343 0.3299 0.4991
6 Ho 0.2515 0.4166 0.2505
7 Ho 0.7485 0.5834 0.7495
8 Ho 0.3299 0.8343 0.9991
9 Ho 0.6701 0.1657 0.0009
10 Ho 0.5834 0.7485 0.2495
11 Mg 0.9204 0.0796 0.2500
12 Mg 0.0796 0.9204 0.7500

Values from the calculation:
Space group ... C2/c
Crystal system ... monoclinic
Magnetic moment ... 0.0 μB/f.u.
VASP energy ... -4.08 eV/atom